Record 1
A plane-wave DFT calculation with GGA-PBE was carried out for a relaxed K3TlB crystal.

Cell lengths 6.101, 6.101, 6.101 Å; angles 90.00, 90.00, 90.00 degrees
Space group Pm-3m (No. 221)
Symmetry-distinct sites (fractional):
K (0.000, 0.000, 0.500) (multiplicity 3)
Tl (0.500, 0.500, 0.500) (multiplicity 1)
B (0.000, 0.000, 0.000) (multiplicity 1)

Computed properties:
formation enthalpy at 0 K	0.769	eV/atom
electronic total energy	-1.698	eV per atom
total magnetic moment	0.201	μB/atom
ΔE to the lowest computed polymorph	0	meV/atom

---

Record 2
A plane-wave DFT calculation with GGA-PBE was carried out for a relaxed CaCoCl2 crystal.

Cell lengths 3.325, 3.325, 11.148 Å; angles 90.00, 90.00, 90.00 degrees
Space group P4/mmm (No. 123)
Symmetry-distinct sites (fractional):
Ca (0.000, 0.000, 0.000) (multiplicity 1)
Co (0.000, 0.000, 0.500) (multiplicity 1)
Cl (0.500, 0.500, 0.143) (multiplicity 2)

Computed properties:
raw formation energy	-0.616	eV per atom
electronic total energy	-3.816	eV per atom
total magnetic moment	0.533	μB/atom
ΔE to the lowest computed polymorph	311	meV/atom

---

Record 3
A plane-wave DFT calculation with GGA-PBE was carried out for a relaxed GaCoOsCl2 crystal.

Cell lengths 4.743, 4.743, 5.016 Å; angles 90.00, 90.00, 90.00 degrees
Space group P4/mmm (No. 123)
Symmetry-distinct sites (fractional):
Ga (0.000, 0.000, 0.000) (multiplicity 1)
Co (0.500, 0.500, 0.000) (multiplicity 1)
Os (0.000, 0.000, 0.500) (multiplicity 1)
Cl (0.000, 0.500, 0.500) (multiplicity 2)

Computed properties:
raw formation energy	1.037	eV per atom
electronic total energy	-3.974	eV per atom
total magnetic moment	0.698	μB/atom